Computed, not measured: a geometry-optimized BSbOF2 structure at the GGA-PBE level of DFT.

ΔE to the lowest computed polymorph in eV per atom: 0.692
Magnetic moment in μB/f.u.: 0.12
E_form (uncorrected) in meV per atom: -392
Calculated total energy in eV/atom: -4.292

Unit cell a=4.450 b=4.450 c=4.180 alpha=90.00 beta=90.00 gamma=90.00
Space group P4/mmm (No. 123)
Symmetry-distinct sites (fractional):
1 B 0.000 0.000 0.000 (multiplicity 1)
2 Sb 0.500 0.500 0.500 (multiplicity 1)
3 O 0.500 0.500 0.000 (multiplicity 1)
4 F 0.000 0.500 0.500 (multiplicity 2)